No. 1
Entry from Alexandria via LeMat-Bulk: Al3IrN after structural relaxation (PBE).

a b c (Å): 4.735 4.735 4.735
angles (deg): 90.00 90.00 90.00
Sites, in units of the cell vectors:
Al1 0.000 0.000 0.500
Al2 0.000 0.500 0.000
Al3 0.500 0.000 0.000
Ir1 0.000 0.000 0.000
N1 0.500 0.500 0.500

Values from the calculation:
Raw formation energy = 0.65 eV per atom
Total moment = 2.7 μB/f.u.
DFT total energy = -25.179 eV/cell
Volume = 21.23 Å³/atom
SG = Pm-3m (221)

No. 2
Entry from Alexandria via LeMat-Bulk: LaAlFe2 after structural relaxation (PBE).

a b c (Å): 4.729 4.729 4.729
angles (deg): 119.85 119.85 90.26
Sites, in units of the cell vectors:
La1 0.000 0.000 0.000
Al1 0.750 0.250 0.500
Fe1 0.250 0.750 0.500
Fe2 0.500 0.500 0.000

Values from the calculation:
Total moment = 5.5 μB/f.u.
Calculated formation energy = 0.313 eV/atom
DFT total energy = -24.344 eV/cell
Volume = 18.73 Å³/atom
SG = I-4m2 (119)

No. 3
Entry from Alexandria via LeMat-Bulk: Nd4ZnSiI2 after structural relaxation (PBE).

a b c (Å): 7.612 4.275 7.996
angles (deg): 90.00 107.37 90.00
Sites, in units of the cell vectors:
Nd1 0.228 0.000 0.205
Nd2 0.261 0.500 0.790
Nd3 0.739 0.500 0.210
Nd4 0.772 0.000 0.795
Zn1 0.500 0.000 0.000
Si1 0.000 0.500 0.000
I1 0.000 0.000 0.500
I2 0.500 0.500 0.500

Values from the calculation:
Raw formation energy = -0.74 eV per atom
Total moment = 0.0 μB/f.u.
DFT total energy = -34.794 eV/cell
Volume = 31.04 Å³/atom
SG = P2/m (10)

No. 4
Entry from Alexandria via LeMat-Bulk: Ce5Bi2IrC after structural relaxation (PBE).

a b c (Å): 4.717 4.717 11.339
angles (deg): 90.00 90.00 90.00
Sites, in units of the cell vectors:
Ce1 0.000 0.000 0.000
Ce2 0.000 0.500 0.500
Ce3 0.500 0.000 0.500
Ce4 0.500 0.500 0.230
Ce5 0.500 0.500 0.770
Bi1 0.000 0.000 0.288
Bi2 0.000 0.000 0.712
Ir1 0.500 0.500 0.000
C1 0.500 0.500 0.500

Values from the calculation:
Total moment = 4.5 μB/f.u.
Calculated formation energy = -0.470 eV/atom
DFT total energy = -59.750 eV/cell
Volume = 28.03 Å³/atom
SG = P4/mmm (123)

No. 5
Entry from Alexandria via LeMat-Bulk: Tb2YTaN4 after structural relaxation (PBE).

a b c (Å): 5.839 3.357 5.848
angles (deg): 90.00 109.05 90.00
Sites, in units of the cell vectors:
Tb1 0.000 0.000 0.000
Tb2 0.500 0.500 0.000
Y1 0.000 0.500 0.500
Ta1 0.500 0.000 0.500
N1 0.266 0.000 0.732
N2 0.274 0.500 0.275
N3 0.726 0.500 0.725
N4 0.734 0.000 0.268

Values from the calculation:
Raw formation energy = -1.51 eV per atom
Total moment = 0.0 μB/f.u.
DFT total energy = -72.994 eV/cell
Volume = 13.54 Å³/atom
SG = P2/m (10)

No. 6
Entry from Alexandria via LeMat-Bulk: Li2GeIrN after structural relaxation (PBE).

a b c (Å): 5.010 5.010 3.533
angles (deg): 90.00 90.00 90.00
Sites, in units of the cell vectors:
Li1 0.000 0.500 0.000
Li2 0.500 0.000 0.000
Ge1 0.000 0.000 0.000
Ir1 0.500 0.500 0.500
N1 0.000 0.000 0.500

Values from the calculation:
Raw formation energy = 1.09 eV per atom
Total moment = 1.1 μB/f.u.
DFT total energy = -20.177 eV/cell
Volume = 17.74 Å³/atom
SG = P4/mmm (123)

No. 7
Entry from Alexandria via LeMat-Bulk: Tb2PmPrHo after structural relaxation (PBE).

a b c (Å): 7.188 7.188 7.182
angles (deg): 90.00 90.00 107.97
Sites, in units of the cell vectors:
Tb1 0.187 0.187 0.000
Tb2 0.187 0.187 0.500
Tb3 0.813 0.813 0.000
Tb4 0.813 0.813 0.500
Pm1 0.498 0.502 0.750
Pm2 0.502 0.498 0.250
Pr1 0.230 0.770 0.750
Pr2 0.770 0.230 0.250
Ho1 0.223 0.777 0.250
Ho2 0.777 0.223 0.750

Values from the calculation:
Total moment = 0.0 μB/f.u.
Calculated formation energy = 0.381 eV/atom
DFT total energy = -42.929 eV/cell
Volume = 35.30 Å³/atom
SG = Cmcm (63)

No. 8
Entry from Alexandria via LeMat-Bulk: CaLaZnSi after structural relaxation (PBE).

a b c (Å): 5.191 5.191 5.191
angles (deg): 60.00 60.00 60.00
Sites, in units of the cell vectors:
Ca1 0.000 0.000 0.000
La1 0.500 0.500 0.500
Zn1 0.250 0.250 0.250
Si1 0.750 0.750 0.750

Values from the calculation:
Raw formation energy = -0.40 eV per atom
Total moment = 0.0 μB/f.u.
DFT total energy = -15.234 eV/cell
Volume = 24.73 Å³/atom
SG = F-43m (216)

Repeat the second record exactly.
Entry from Alexandria via LeMat-Bulk: LaAlFe2 after structural relaxation (PBE).

a b c (Å): 4.729 4.729 4.729
angles (deg): 119.85 119.85 90.26
Sites, in units of the cell vectors:
La1 0.000 0.000 0.000
Al1 0.750 0.250 0.500
Fe1 0.250 0.750 0.500
Fe2 0.500 0.500 0.000

Values from the calculation:
Total moment = 5.5 μB/f.u.
Calculated formation energy = 0.313 eV/atom
DFT total energy = -24.344 eV/cell
Volume = 18.73 Å³/atom
SG = I-4m2 (119)